[1]
Material: LiNbFeTe
Method: DFT, PBE-GGA
State: relaxed

Unit cell a=4.121 b=4.121 c=14.452 alpha=90.00 beta=90.00 gamma=120.00
Element x y z (fractional)
Li: 0.333 0.667 0.402
Li: 0.000 0.000 0.735
Li: 0.667 0.333 0.069
Fe: 0.333 0.667 0.576
Fe: 0.667 0.333 0.243
Fe: 0.000 0.000 0.909
Nb: 0.000 0.000 0.526
Nb: 0.667 0.333 0.859
Nb: 0.333 0.667 0.192
Te: 0.333 0.667 0.983
Te: 0.000 0.000 0.316
Te: 0.667 0.333 0.650

Symmetry: R3m (160)
E above lowest polymorph, kJ/mol of formula units: 0
Crystal system: trigonal
Formation energy from raw total energies, eV per atom: -0.08



[2]
Material: Zr2CdSe
Method: DFT, PBE-GGA
State: relaxed

Unit cell a=3.530 b=3.530 c=7.792 alpha=90.00 beta=90.00 gamma=90.00
Element x y z (fractional)
Cd: 0.000 0.000 0.465
Zr: 0.500 0.500 0.225
Zr: 0.000 0.000 0.973
Se: 0.500 0.500 0.836

Symmetry: P4mm (99)
E above lowest polymorph, kJ/mol of formula units: 20
Crystal system: tetragonal
Formation energy from raw total energies, eV per atom: -0.49
DOS at the Fermi energy, states/eV per cell: 3.08



[3]
Material: MgPaPb2O6
Method: DFT, PBE-GGA
State: relaxed

Unit cell a=5.821 b=5.978 c=8.369 alpha=90.00 beta=90.04 gamma=90.00
Element x y z (fractional)
Pb: 0.508 0.537 0.747
Pb: 0.492 0.463 0.253
Pb: 0.008 0.963 0.247
Pb: 0.992 0.037 0.753
O: 0.693 0.300 0.545
O: 0.799 0.799 0.553
O: 0.299 0.701 0.053
O: 0.201 0.201 0.447
O: 0.193 0.200 0.045
O: 0.901 0.528 0.246
O: 0.401 0.972 0.746
O: 0.599 0.028 0.254
O: 0.701 0.299 0.947
O: 0.307 0.700 0.455
O: 0.099 0.472 0.754
O: 0.807 0.800 0.955
Mg: 0.500 0.000 0.500
Mg: 0.000 0.500 0.000
Pa: 0.000 0.500 0.500
Pa: 0.500 0.000 0.000

Symmetry: P2_1/c (14)
Crystal system: monoclinic
Formation energy from raw total energies, eV per atom: -2.17
DOS at the Fermi energy, states/eV per cell: 12.68



[4]
Material: ErScCoPd
Method: DFT, PBE-GGA
State: relaxed

Unit cell a=4.685 b=4.685 c=4.685 alpha=60.00 beta=60.00 gamma=60.00
Element x y z (fractional)
Sc: 0.000 0.000 0.000
Er: 0.500 0.500 0.500
Pd: 0.750 0.750 0.750
Co: 0.250 0.250 0.250

Symmetry: F-43m (216)
Crystal system: cubic
DOS at the Fermi energy, states/eV per cell: 1.99



[5]
Material: BaAg2Rh
Method: DFT, PBE-GGA
State: relaxed

Unit cell a=4.707 b=4.854 c=4.856 alpha=70.51 beta=90.00 gamma=90.00
Element x y z (fractional)
Ag: 0.000 0.677 0.178
Ag: 0.000 0.323 0.822
Rh: 0.500 0.500 0.000
Ba: 0.500 0.000 0.500

Symmetry: Cmmm (65)
E above lowest polymorph, kJ/mol of formula units: 70
Crystal system: orthorhombic
DOS at the Fermi energy, states/eV per cell: 3.11



[6]
Material: LaY
Method: DFT, PBE-GGA
State: relaxed

Unit cell a=5.140 b=5.140 c=6.635 alpha=90.00 beta=90.00 gamma=120.00
Element x y z (fractional)
La: 0.000 0.000 0.500
La: 0.000 0.000 0.000
Y: 0.333 0.667 0.250
Y: 0.667 0.333 0.750

Symmetry: P6_3/mmc (194)
E above lowest polymorph, kJ/mol of formula units: 140
Crystal system: hexagonal
DOS at the Fermi energy, states/eV per cell: 6.67



[7]
Material: Rb2TcBr6
Method: DFT, PBE-GGA
State: relaxed

Unit cell a=7.617 b=7.617 c=7.617 alpha=60.00 beta=60.00 gamma=60.00
Each line ends with the local moment (μB).
Element x y z (fractional)
Br: 0.764 0.236 0.236  0.04
Br: 0.236 0.764 0.764  0.04
Br: 0.236 0.764 0.236  0.04
Br: 0.236 0.236 0.764  0.04
Br: 0.764 0.764 0.236  0.04
Br: 0.764 0.236 0.764  0.04
Rb: 0.750 0.750 0.750  0.00
Rb: 0.250 0.250 0.250  0.00
Tc: 0.000 0.000 0.000  2.32

Symmetry: Fm-3m (225)
Crystal system: cubic
Formation energy from raw total energies, eV per atom: -1.06



[8]
Material: K2WCl8
Method: DFT, PBE-GGA
State: relaxed

Unit cell a=6.438 b=7.059 c=9.054 alpha=81.19 beta=110.83 gamma=90.00
Each line ends with the local moment (μB).
Element x y z (fractional)
Cl: 0.859 0.048 0.719  0.00
Cl: 0.248 0.233 0.995  0.00
Cl: 0.252 0.767 0.005  0.00
Cl: 0.667 0.442 0.333  0.08
Cl: 0.141 0.952 0.281  0.00
Cl: 0.333 0.558 0.667  0.08
Cl: 0.748 0.233 0.995  0.00
Cl: 0.752 0.767 0.005  0.00
K: 0.173 0.426 0.345  0.00
K: 0.827 0.574 0.655  0.00
W: 0.000 0.000 0.000  -0.03

Symmetry: C2/m (12)
Crystal system: monoclinic
Formation energy from raw total energies, eV per atom: -1.16
DOS at the Fermi energy, states/eV per cell: 2.34



In eV per atom, the calculated total energy values for the records above are, in order, -5.97; -5.86; -7.00; -6.35; -3.62; -4.97; -3.54; -3.88.
In μB per atom, the magnetization values for the records above are, in order, 0.000; 0.000; 0.000; 0.003; 0.000; 0.000; 0.331; 0.019.